Version w
Below is a relaxed structure of Sc2Ag2Au, with properties calculated at the PBE level.

abc: 5.285 5.285 7.935
angles: 90.00 90.00 90.00
Space group I4/mmm (No. 139)
Asymmetric unit:
Sc (0.000, 0.500, 0.250) x4
Ag (0.000, 0.000, 0.156) x4
Au (0.000, 0.000, 0.500) x2

Results
Magnetization, Bohr magnetons per cell: 0.00

---

Version x
Below is a relaxed structure of Sc2Ag2Au, with properties calculated at the PBE level.

abc: 7.508 7.508 3.786
angles: 90.00 90.00 90.00
Space group P4/mbm (No. 127)
Asymmetric unit:
Sc (0.160, 0.340, 0.000) x4
Ag (0.135, 0.635, 0.500) x4
Au (0.000, 0.000, 0.000) x2

Results
Magnetization, Bohr magnetons per cell: 0.00

---

According to the calculations, the structures order from most to least stable as version x, version w.

---

Version w
Below is a relaxed structure of Sc2Ag2Au, with properties calculated at the PBE level.

abc: 3.725 3.725 15.483
angles: 90.00 90.00 90.00
Space group I4/mmm (No. 139)
Asymmetric unit:
Sc (0.000, 0.000, 0.097) x4
Ag (0.000, 0.500, 0.250) x4
Au (0.000, 0.000, 0.500) x2

Results
Magnetization, Bohr magnetons per cell: 0.00

---

Version x
Below is a relaxed structure of Sc2Ag2Au, with properties calculated at the PBE level.

abc: 7.530 7.530 3.526
angles: 90.00 90.00 90.00
Space group P4/mbm (No. 127)
Asymmetric unit:
Sc (0.173, 0.327, 0.000) x4
Ag (0.129, 0.629, 0.500) x4
Au (0.000, 0.000, 0.500) x2

Results
Magnetization, Bohr magnetons per cell: 0.00

---

Version y
Below is a relaxed structure of Sc2Ag2Au, with properties calculated at the PBE level.

abc: 3.936 15.277 3.321
angles: 90.00 90.00 90.00
Space group Cmmm (No. 65)
Asymmetric unit:
Sc (0.000, 0.104, 0.000) x4
Ag (0.000, 0.310, 0.500) x4
Au (0.000, 0.500, 0.500) x2

Results
Magnetization, Bohr magnetons per cell: 0.00

---

According to the calculations, the structures order from most to least stable as version y, version x, version w.

---

Version w
Below is a relaxed structure of ScAg3Au, with properties calculated at the PBE level.

abc: 5.101 5.101 5.101
angles: 90.00 90.00 90.00
Space group Pm-3m (No. 221)
Asymmetric unit:
Sc (0.000, 0.000, 0.000) x1
Ag (0.000, 0.000, 0.500) x3
Au (0.500, 0.500, 0.500) x1

Results
Magnetization, Bohr magnetons per cell: 0.00

---

Version x
Below is a relaxed structure of ScAg3Au, with properties calculated at the PBE level.

abc: 5.087 5.087 5.087
angles: 90.00 90.00 90.00
Space group Pm-3m (No. 221)
Asymmetric unit:
Sc (0.000, 0.000, 0.000) x1
Ag (0.000, 0.500, 0.500) x3
Au (0.500, 0.500, 0.500) x1

Results
Magnetization, Bohr magnetons per cell: 0.13

---

According to the calculations, the structures order from most to least stable as version x, version w.